A plane-wave DFT calculation with PBE was carried out for crystalline SbAuO4 at its relaxed geometry.

Computed properties:
V in Å³ per cell: 86
DFT total energy in eV per atom: -5.088

Structure (POSCAR):
```
SbAuO4
1.0
-3.029 -0.695 3.436
1.730 -1.106 4.422
-1.357 3.839 2.703
O Au Sb
4 1 1
Cartesian
-0.270 2.387 7.705 O
-1.250 0.128 6.291 O
-0.069 1.855 4.558 O
-1.140 -0.424 3.249 O
-1.547 1.539 3.239 Au
0.755 -0.758 3.238 Sb
```